Record 1
Entry from Alexandria: a geometry-optimized LaHf2Rh2 structure (GGA-PBE).

Structure (POSCAR):
```
LaHf2Rh2
1.0
8.129 0.000 0.000
0.000 8.129 0.000
0.000 0.000 3.041
La Hf Rh
2 4 4
Direct
0.000 0.000 0.000
0.500 0.500 0.000
0.142 0.358 0.000
0.358 0.858 0.000
0.642 0.142 0.000
0.858 0.642 0.000
0.146 0.646 0.500
0.354 0.146 0.500
0.646 0.854 0.500
0.854 0.354 0.500
```

Calculated values
ΔH_f (0 K), eV per formula unit: -2.73
Polymorph energy (0 for the lowest one), meV/atom: 152


Record 2
Entry from Alexandria: a geometry-optimized LaHfRh structure (GGA-PBE).

Structure (POSCAR):
```
LaHfRh
1.0
4.670 0.000 0.000
0.000 4.670 0.000
0.000 0.000 6.748
La Hf Rh
2 2 2
Direct
0.250 0.250 0.122
0.750 0.750 0.878
0.250 0.750 0.500
0.750 0.250 0.500
0.250 0.250 0.695
0.750 0.750 0.305
```

Calculated values
ΔH_f (0 K), eV per formula unit: -1.86
Polymorph energy (0 for the lowest one), meV/atom: 0


Record 3
Entry from Alexandria: a geometry-optimized LaHf3Rh structure (GGA-PBE).

Structure (POSCAR):
```
LaHf3Rh
1.0
5.074 0.000 0.000
0.000 5.074 0.000
0.000 0.000 5.074
La Hf Rh
1 3 1
Direct
0.000 0.000 0.000
0.000 0.500 0.500
0.500 0.000 0.500
0.500 0.500 0.000
0.500 0.500 0.500
```

Calculated values
ΔH_f (0 K), eV per formula unit: 0.21
Polymorph energy (0 for the lowest one), meV/atom: 0


Record 4
Entry from Alexandria: a geometry-optimized LaHfRh structure (GGA-PBE).

Structure (POSCAR):
```
LaHfRh
1.0
3.395 0.000 0.000
0.000 3.395 0.000
0.000 0.000 12.334
La Hf Rh
2 2 2
Direct
0.000 0.000 0.000
0.500 0.500 0.500
0.000 0.000 0.281
0.500 0.500 0.781
0.000 0.000 0.685
0.500 0.500 0.185
```

Calculated values
ΔH_f (0 K), eV per formula unit: -1.28
Polymorph energy (0 for the lowest one), meV/atom: 192


- Which value of polymorph energy (0 for the lowest one) does entry 1 give?
  152 meV/atom